VASP calculation (GGA-PBE) on a relaxed structure of Nd7Co2Hg2.

## Properties
formation energy from the elements: -0.133 eV per atom
energy above the lowest structure with this stoichiometry: 53 meV per atom
space group: Cmmm (65)
spin magnetization: 0.00 μB per formula unit
DOS at the Fermi energy: 1.15 states/eV/atom

Geometry as POSCAR:
```
Nd7Co2Hg2
1.0
3.9844 -5.6558 0.0000
3.9844 5.6558 0.0000
0.0000 0.0000 7.2191
Nd Co Hg
7 2 2
Direct
0.0000 0.0000 0.0000 Nd
0.0000 0.5000 0.2464 Nd
0.0000 0.5000 0.7536 Nd
0.5000 0.0000 0.2464 Nd
0.5000 0.0000 0.7536 Nd
0.5000 0.5000 0.2361 Nd
0.5000 0.5000 0.7639 Nd
0.2943 0.7057 0.0000 Co
0.7057 0.2943 0.0000 Co
0.1797 0.1797 0.5000 Hg
0.8203 0.8203 0.5000 Hg
```

VASP calculation (GGA-PBE) on a relaxed structure of Cr2FeNiRu.

## Properties
formation energy from the elements: 1.724 eV per atom
space group: P4/mmm (123)
spin magnetization: 4.85 μB per formula unit
DOS at the Fermi energy: 2.24 states/eV/atom

Geometry as POSCAR:
```
Cr2FeNiRu
1.0
4.4750 0.0000 0.0000
0.0000 4.4750 0.0000
0.0000 0.0000 4.4838
Cr Fe Ni Ru
2 1 1 1
Direct
0.0000 0.5000 0.0000 Cr
0.5000 0.0000 0.0000 Cr
0.0000 0.0000 0.5000 Fe
0.5000 0.5000 0.5000 Ni
0.5000 0.5000 0.0000 Ru
```

VASP calculation (GGA-PBE) on a relaxed structure of Th2MgHg6.

## Properties
formation energy from the elements: -0.197 eV per atom
energy above the lowest structure with this stoichiometry: 4 meV per atom
space group: P6/mmm (191)
spin magnetization: 0.00 μB per formula unit
DOS at the Fermi energy: 0.46 states/eV/atom

Geometry as POSCAR:
```
Th2MgHg6
1.0
8.8106 0.0000 0.0000
-4.4053 7.6302 0.0000
0.0000 0.0000 3.3389
Th Mg Hg
2 1 6
Direct
0.3333 0.6667 0.0000 Th
0.6667 0.3333 0.0000 Th
0.0000 0.0000 0.0000 Mg
0.0000 0.3265 0.5000 Hg
0.0000 0.6735 0.5000 Hg
0.3265 0.0000 0.5000 Hg
0.3265 0.3265 0.5000 Hg
0.6735 0.0000 0.5000 Hg
0.6735 0.6735 0.5000 Hg
```

VASP calculation (GGA-PBE) on a relaxed structure of NiRuSe.

## Properties
uncorrected formation energy: 276 meV per atom
energy above the lowest structure with this stoichiometry: 124 meV per atom
space group: P3m1 (156)
spin magnetization: 0.00 μB per formula unit
DOS at the Fermi energy: 1.09 states/eV/atom

Geometry as POSCAR:
```
NiRuSe
1.0
2.9427 0.0000 0.0000
-1.4714 2.5485 0.0000
0.0000 0.0000 5.7126
Ni Ru Se
1 1 1
Direct
0.0000 0.0000 0.0000 Ni
0.6667 0.3333 0.3513 Ru
0.3333 0.6667 0.6815 Se
```

VASP calculation (GGA-PBE) on a relaxed structure of Na8Tl2Hg3.

## Properties
formation energy from the elements: -0.079 eV per atom
energy above the lowest structure with this stoichiometry: 39 meV per atom
space group: C2/m (12)
spin magnetization: 0.00 μB per formula unit
DOS at the Fermi energy: 0.49 states/eV/atom

Geometry as POSCAR:
```
Na8Tl2Hg3
1.0
7.0973 -4.3928 0.0000
7.0973 4.3928 0.0000
-0.8119 0.0000 6.4712
Na Tl Hg
8 2 3
Direct
0.0760 0.6940 0.0747 Na
0.1021 0.1021 0.4022 Na
0.3060 0.9240 0.9253 Na
0.3208 0.3208 0.6847 Na
0.6792 0.6792 0.3153 Na
0.6940 0.0760 0.0747 Na
0.8979 0.8979 0.5978 Na
0.9240 0.3060 0.9253 Na
0.2977 0.2977 0.1927 Tl
0.7023 0.7023 0.8073 Tl
0.3188 0.6812 0.5000 Hg
0.5000 0.5000 0.0000 Hg
0.6812 0.3188 0.5000 Hg
```

VASP calculation (GGA-PBE) on a relaxed structure of Mn2Al3Au5.

## Properties
formation energy from the elements: -0.225 eV per atom
space group: C2/c (15)
spin magnetization: 7.92 μB per formula unit
DOS at the Fermi energy: 0.36 states/eV/atom

Geometry as POSCAR:
```
Mn2Al3Au5
1.0
4.8484 -6.2340 0.0000
4.8484 6.2340 0.0000
-0.5591 0.0000 5.5541
Mn Al Au
4 6 10
Direct
0.1144 0.6360 0.8771 Mn
0.3640 0.8856 0.6229 Mn
0.6360 0.1144 0.3771 Mn
0.8856 0.3640 0.1229 Mn
0.0054 0.2802 0.6051 Al
0.2802 0.0054 0.1051 Al
0.4592 0.5408 0.7500 Al
0.5408 0.4592 0.2500 Al
0.7198 0.9946 0.8949 Al
0.9946 0.7198 0.3949 Al
0.0425 0.9575 0.7500 Au
0.2137 0.3245 0.9867 Au
0.2218 0.5473 0.4030 Au
0.3245 0.2137 0.4867 Au
0.4527 0.7782 0.0970 Au
0.5473 0.2218 0.9030 Au
0.6755 0.7863 0.5133 Au
0.7782 0.4527 0.5970 Au
0.7863 0.6755 0.0133 Au
0.9575 0.0425 0.2500 Au
```

VASP calculation (GGA-PBE) on a relaxed structure of Ho8Tc2Rh.

## Properties
formation energy from the elements: -0.180 eV per atom
space group: Cm (8)
spin magnetization: 0.00 μB per formula unit
DOS at the Fermi energy: 0.66 states/eV/atom

Geometry as POSCAR:
```
Ho8Tc2Rh
1.0
4.1741 -6.3687 0.0000
4.1741 6.3687 0.0000
-2.0107 0.0000 5.3579
Ho Tc Rh
8 2 1
Direct
0.0000 0.0000 0.0000 Ho
0.0261 0.2854 0.5950 Ho
0.1532 0.5753 0.1958 Ho
0.2854 0.0261 0.5950 Ho
0.4412 0.7014 0.7970 Ho
0.5753 0.1532 0.1958 Ho
0.7014 0.4412 0.7970 Ho
0.7253 0.7253 0.3888 Ho
0.0534 0.6702 0.6923 Tc
0.6702 0.0534 0.6923 Tc
0.3625 0.3625 0.1870 Rh
```

VASP calculation (GGA-PBE) on a relaxed structure of Tl3TeN.

## Properties
uncorrected formation energy: 393 meV per atom
energy above the lowest structure with this stoichiometry: 5 meV per atom
space group: Pm-3m (221)
spin magnetization: 0.00 μB per formula unit
DOS at the Fermi energy: 0.37 states/eV/atom

Geometry as POSCAR:
```
Tl3TeN
1.0
5.1146 0.0000 0.0000
0.0000 5.1146 0.0000
0.0000 0.0000 5.1146
Tl Te N
3 1 1
Direct
0.0000 0.0000 0.5000 Tl
0.0000 0.5000 0.0000 Tl
0.5000 0.0000 0.0000 Tl
0.5000 0.5000 0.5000 Te
0.0000 0.0000 0.0000 N
```

Number 5 is which compound? Na8Tl2Hg3